1.
EuLuCd4 after structural relaxation, computed with GGA-PBE.

a = 5.9664 Å, b = 5.9664 Å, c = 5.9664 Å
α = 60.00°, β = 60.00°, γ = 60.00°
Fractional coordinates of all 6 atoms:
Cd: 0.1243 0.6252 0.6252
Cd: 0.6252 0.6252 0.1243
Cd: 0.6252 0.6252 0.6252
Cd: 0.6252 0.1243 0.6252
Lu: 0.0000 0.0000 0.0000
Eu: 0.2500 0.2500 0.2500

* space group: No. 216
* formation energy from the elements: -0.23 eV per atom
* total magnetic moment: 1.18 μB/atom
* D(E_F): 0.718 states/eV/atom


2.
EuLuCd after structural relaxation, computed with GGA-PBE.

a = 3.7204 Å, b = 5.3310 Å, c = 5.3310 Å
α = 120.00°, β = 90.00°, γ = 90.00°
Fractional coordinates of all 3 atoms:
Lu: 0.4679 0.3333 0.6667
Eu: 0.9883 0.0000 0.0000
Cd: 0.5438 0.6667 0.3333

* relative energy among the computed polymorphs: 0.31 eV per formula unit
* space group: No. 156
* formation energy from the elements: -0.04 eV per atom
* total magnetic moment: 2.46 μB/atom
* D(E_F): 0.916 states/eV/atom


3.
EuLuCdPb after structural relaxation, computed with GGA-PBE.

a = 5.4254 Å, b = 5.4254 Å, c = 5.4254 Å
α = 60.00°, β = 60.00°, γ = 60.00°
Fractional coordinates of all 4 atoms:
Lu: 0.0000 0.0000 0.0000
Pb: 0.2500 0.2500 0.2500
Cd: 0.7500 0.7500 0.7500
Eu: 0.5000 0.5000 0.5000

* space group: No. 216
* formation energy from the elements: -0.37 eV per atom
* total magnetic moment: 1.88 μB/atom
* D(E_F): 0.755 states/eV/atom